[1]
## Nb3TePt (GGA-PBE)

Data for Nb3TePt after structural relaxation.

The structure in POSCAR format:
```
Nb3TePt
1.0
4.949 0.000 0.000
0.000 4.949 0.000
0.000 0.000 4.949
Nb Te Pt
3 1 1
direct
0.000 0.000 0.500 Nb
0.000 0.500 0.000 Nb
0.500 0.000 0.000 Nb
0.500 0.500 0.500 Te
0.000 0.000 0.000 Pt
```

Properties
ρ: 8239 kg/m³
energy: -7.003 eV per atom
offset from the most stable computed form: 0.000 kcal/mol of atoms
density of states at the Fermi level: 8.35 states/eV/f.u.
E_form (uncorrected): 84 kJ per mole of atoms

[2]
## NbTe2Pt (GGA-PBE)

Data for NbTe2Pt after structural relaxation.

The structure in POSCAR format:
```
NbTe2Pt
1.0
6.200 0.000 0.000
0.000 6.200 0.000
0.000 0.000 12.265
Nb Te Pt
4 8 4
direct
0.000 0.000 0.000 Nb
0.000 0.500 0.250 Nb
0.500 0.000 0.750 Nb
0.500 0.500 0.500 Nb
0.240 0.250 0.625 Te
0.250 0.740 0.875 Te
0.250 0.760 0.375 Te
0.260 0.250 0.125 Te
0.740 0.750 0.125 Te
0.750 0.240 0.375 Te
0.750 0.260 0.875 Te
0.760 0.750 0.625 Te
0.000 0.000 0.500 Pt
0.000 0.500 0.750 Pt
0.500 0.000 0.250 Pt
0.500 0.500 0.000 Pt
```

Properties
ρ: 7652 kg/m³
energy: -5.495 eV per atom
offset from the most stable computed form: 12.792 kcal/mol of atoms
density of states at the Fermi level: 3.24 states/eV/f.u.
E_form (uncorrected): 10 kJ per mole of atoms

[3]
## NbTe6Pt (GGA-PBE)

Data for NbTe6Pt after structural relaxation.

The structure in POSCAR format:
```
NbTe6Pt
1.0
3.443 1.988 5.439
-3.443 1.988 5.439
0.000 -3.976 5.439
Nb Te Pt
1 6 1
direct
0.000 0.000 0.000 Nb
0.061 0.443 0.733 Te
0.267 0.939 0.557 Te
0.443 0.733 0.061 Te
0.557 0.267 0.939 Te
0.733 0.061 0.443 Te
0.939 0.557 0.267 Te
0.500 0.500 0.500 Pt
```

Properties
ρ: 7834 kg/m³
energy: -4.531 eV per atom
density of states at the Fermi level: 4.37 states/eV/f.u.
E_form (uncorrected): -16 kJ per mole of atoms

[4]
## Nb3TePt (GGA-PBE)

Data for Nb3TePt after structural relaxation.

The structure in POSCAR format:
```
Nb3TePt
1.0
4.952 0.000 0.000
0.000 4.952 0.000
0.000 0.000 4.952
Nb Te Pt
3 1 1
direct
0.000 0.000 0.500 Nb
0.000 0.500 0.000 Nb
0.500 0.000 0.000 Nb
0.000 0.000 0.000 Te
0.500 0.500 0.500 Pt
```

Properties
ρ: 8224 kg/m³
energy: -6.366 eV per atom
offset from the most stable computed form: 14.687 kcal/mol of atoms
density of states at the Fermi level: 10.48 states/eV/f.u.
E_form (uncorrected): 146 kJ per mole of atoms

[5]
## NbTe4Pt (GGA-PBE)

Data for NbTe4Pt after structural relaxation.

The structure in POSCAR format:
```
NbTe4Pt
1.0
7.560 0.000 0.000
0.000 7.560 0.000
0.000 0.000 6.176
Nb Te Pt
2 8 2
direct
0.000 0.000 0.000 Nb
0.500 0.500 0.500 Nb
0.243 0.744 0.752 Te
0.244 0.257 0.748 Te
0.256 0.243 0.248 Te
0.257 0.756 0.252 Te
0.743 0.244 0.252 Te
0.744 0.757 0.248 Te
0.756 0.743 0.748 Te
0.757 0.256 0.752 Te
0.000 0.500 0.750 Pt
0.500 0.000 0.250 Pt
```

Properties
ρ: 7511 kg/m³
energy: -4.739 eV per atom
offset from the most stable computed form: 6.663 kcal/mol of atoms
density of states at the Fermi level: 3.54 states/eV/f.u.
E_form (uncorrected): 4 kJ per mole of atoms

[6]
## NbTe2Pt (GGA-PBE)

Data for NbTe2Pt after structural relaxation.

The structure in POSCAR format:
```
NbTe2Pt
1.0
6.927 0.000 0.000
0.000 6.927 0.000
0.000 0.000 6.927
Nb Te Pt
4 8 4
direct
0.000 0.000 0.000 Nb
0.000 0.500 0.500 Nb
0.500 0.000 0.500 Nb
0.500 0.500 0.000 Nb
0.250 0.250 0.250 Te
0.250 0.250 0.750 Te
0.250 0.750 0.250 Te
0.250 0.750 0.750 Te
0.750 0.250 0.250 Te
0.750 0.250 0.750 Te
0.750 0.750 0.250 Te
0.750 0.750 0.750 Te
0.000 0.000 0.500 Pt
0.000 0.500 0.000 Pt
0.500 0.000 0.000 Pt
0.500 0.500 0.500 Pt
```

Properties
ρ: 10853 kg/m³
energy: -5.442 eV per atom
offset from the most stable computed form: 14.022 kcal/mol of atoms
density of states at the Fermi level: 6.61 states/eV/f.u.
E_form (uncorrected): 15 kJ per mole of atoms

[7]
## NbTe2Pt (GGA-PBE)

Data for NbTe2Pt after structural relaxation.

The structure in POSCAR format:
```
NbTe2Pt
1.0
3.539 0.000 0.000
-1.770 3.065 0.000
0.000 0.000 26.659
Nb Te Pt
3 6 3
direct
0.000 0.000 0.000 Nb
0.333 0.667 0.667 Nb
0.667 0.333 0.333 Nb
0.000 0.000 0.404 Te
0.000 0.000 0.596 Te
0.333 0.667 0.071 Te
0.333 0.667 0.262 Te
0.667 0.333 0.738 Te
0.667 0.333 0.929 Te
0.000 0.000 0.500 Pt
0.333 0.667 0.167 Pt
0.667 0.333 0.833 Pt
```

Properties
ρ: 9357 kg/m³
energy: -5.652 eV per atom
offset from the most stable computed form: 9.172 kcal/mol of atoms
density of states at the Fermi level: 2.32 states/eV/f.u.
E_form (uncorrected): -5 kJ per mole of atoms

[8]
## NbTe2Pt (GGA-PBE)

Data for NbTe2Pt after structural relaxation.

The structure in POSCAR format:
```
NbTe2Pt
1.0
8.690 0.000 0.000
0.000 6.431 0.000
-3.660 0.000 7.384
Nb Te Pt
4 8 4
direct
0.024 0.023 0.315 Nb
0.024 0.477 0.815 Nb
0.976 0.523 0.185 Nb
0.976 0.977 0.685 Nb
0.225 0.229 0.647 Te
0.225 0.271 0.147 Te
0.320 0.729 0.905 Te
0.320 0.771 0.405 Te
0.680 0.229 0.595 Te
0.680 0.271 0.095 Te
0.775 0.729 0.853 Te
0.775 0.771 0.353 Te
0.123 0.643 0.554 Pt
0.123 0.857 0.054 Pt
0.877 0.143 0.946 Pt
0.877 0.357 0.446 Pt
```

Properties
ρ: 8742 kg/m³
energy: -6.050 eV per atom
offset from the most stable computed form: 0.000 kcal/mol of atoms
density of states at the Fermi level: 2.13 states/eV/f.u.
E_form (uncorrected): -44 kJ per mole of atoms

[9]
## NbTe4Pt (GGA-PBE)

Data for NbTe4Pt after structural relaxation.

The structure in POSCAR format:
```
NbTe4Pt
1.0
4.447 -7.652 0.000
4.447 7.652 0.000
-3.904 0.000 4.625
Nb Te Pt
2 8 2
direct
0.048 0.952 0.750 Nb
0.952 0.048 0.250 Nb
0.020 0.624 0.791 Te
0.234 0.349 0.844 Te
0.349 0.234 0.344 Te
0.376 0.980 0.709 Te
0.624 0.020 0.291 Te
0.651 0.766 0.656 Te
0.766 0.651 0.156 Te
0.980 0.376 0.209 Te
0.310 0.690 0.250 Pt
0.690 0.310 0.750 Pt
```

Properties
ρ: 8424 kg/m³
energy: -5.028 eV per atom
offset from the most stable computed form: 0.000 kcal/mol of atoms
density of states at the Fermi level: 4.07 states/eV/f.u.
E_form (uncorrected): -24 kJ per mole of atoms

[10]
## NbTlTePt2 (GGA-PBE)

Data for NbTlTePt2 after structural relaxation.

The structure in POSCAR format:
```
NbTlTePt2
1.0
5.031 0.000 0.000
0.000 5.031 0.000
0.000 0.000 5.363
Nb Tl Te Pt
1 1 1 2
direct
0.000 0.000 0.000 Nb
0.500 0.500 0.500 Tl
0.000 0.000 0.500 Te
0.000 0.500 0.000 Pt
0.500 0.000 0.000 Pt
```

Properties
ρ: 9972 kg/m³
energy: -5.146 eV per atom
density of states at the Fermi level: 3.30 states/eV/f.u.
E_form (uncorrected): 37 kJ per mole of atoms

[11]
## ThNbPt (GGA-PBE)

Data for ThNbPt after structural relaxation.

The structure in POSCAR format:
```
ThNbPt
1.0
5.168 0.000 0.000
0.000 5.192 0.000
0.000 0.000 9.928
Th Nb Pt
4 4 4
direct
0.000 0.000 0.177 Th
0.000 0.000 0.823 Th
0.500 0.500 0.177 Th
0.500 0.500 0.823 Th
0.000 0.500 0.377 Nb
0.000 0.500 0.623 Nb
0.500 0.000 0.377 Nb
0.500 0.000 0.623 Nb
0.000 0.000 0.500 Pt
0.000 0.500 0.000 Pt
0.500 0.000 0.000 Pt
0.500 0.500 0.500 Pt
```

Properties
ρ: 12965 kg/m³
energy: -8.191 eV per atom
energy of formation: -0.3474 eV/atom
density of states at the Fermi level: 4.17 states/eV/f.u.

[12]
## Th3NbPt12 (GGA-PBE)

Data for Th3NbPt12 after structural relaxation.

The structure in POSCAR format:
```
Th3NbPt12
1.0
4.193 0.000 0.000
0.000 4.193 0.000
0.000 0.000 16.613
Th Nb Pt
3 1 12
direct
0.000 0.000 0.000 Th
0.000 0.000 0.257 Th
0.000 0.000 0.743 Th
0.000 0.000 0.500 Nb
0.000 0.500 0.128 Pt
0.000 0.500 0.387 Pt
0.000 0.500 0.613 Pt
0.000 0.500 0.872 Pt
0.500 0.000 0.128 Pt
0.500 0.000 0.387 Pt
0.500 0.000 0.613 Pt
0.500 0.000 0.872 Pt
0.500 0.500 0.000 Pt
0.500 0.500 0.258 Pt
0.500 0.500 0.500 Pt
0.500 0.500 0.742 Pt
```

Properties
ρ: 17795 kg/m³
energy: -7.478 eV per atom
energy of formation: -0.9265 eV/atom
density of states at the Fermi level: 7.36 states/eV/f.u.